TmSc2Al9: optimized geometry, PBE-GGA.

abc: 4.1444 4.1444 12.4181
angles: 90.00 90.00 90.00
Closest atoms and distances in Å follow each position.
Atoms (fractional coordinates):
Tm (0.0000, 0.0000, 0.0000)  12 Al 2.93-2.98
Sc (0.0000, 0.0000, 0.3360)  12 Al 2.90-2.93
Sc (0.0000, 0.0000, 0.6640)  12 Al 2.90-2.93
Al (0.0000, 0.5000, 0.1723)  8 Al 2.90-2.98, 2 Sc 2.90, 2 Tm 2.98
Al (0.0000, 0.5000, 0.5000)  4 Sc 2.91, 8 Al 2.91-2.93
Al (0.0000, 0.5000, 0.8277)  8 Al 2.90-2.98, 2 Sc 2.90, 2 Tm 2.98
Al (0.5000, 0.0000, 0.1723)  8 Al 2.90-2.98, 2 Sc 2.90, 2 Tm 2.98
Al (0.5000, 0.0000, 0.5000)  4 Sc 2.91, 8 Al 2.91-2.93
Al (0.5000, 0.0000, 0.8277)  8 Al 2.90-2.98, 2 Sc 2.90, 2 Tm 2.98
Al (0.5000, 0.5000, 0.0000)  4 Tm 2.93, 8 Al 2.98
Al (0.5000, 0.5000, 0.3353)  8 Al 2.90-2.91, 4 Sc 2.93
Al (0.5000, 0.5000, 0.6647)  8 Al 2.90-2.91, 4 Sc 2.93

Summary:
- offset from the most stable computed form (meV/atom) = 0
- SG = P4/mmm, No. 123
- E_form (meV per atom) = -436

---

Rb2ThAgTe4: optimized geometry, PBE-GGA.

abc: 9.7573 9.7573 9.7573
angles: 123.02 122.11 85.62
Closest atoms and distances in Å follow each position.
Atoms (fractional coordinates):
Rb (0.0000, 0.0000, 0.0000)  6 Te 3.50-3.75
Rb (0.5000, 0.0000, 0.0000)  4 Te 3.53
Rb (0.5000, 0.0000, 0.5000)  6 Te 3.50-3.75
Rb (0.5000, 0.5000, 0.5000)  4 Te 3.53
Th (0.0000, 0.0000, 0.5000)  6 Te 3.11-3.25
Th (0.0000, 0.5000, 0.0000)  6 Te 3.11-3.25
Ag (0.0000, 0.5000, 0.5000)  4 Te 2.97
Ag (0.5000, 0.5000, 0.0000)  4 Te 2.97
Te (0.2122, 0.2438, 0.9684)  2 Th 3.11
Te (0.2238, 0.2837, 0.5599)  2 Ag 2.97, 1 Th 3.25
Te (0.2238, 0.6639, 0.9401)  2 Ag 2.97, 1 Th 3.25
Te (0.2246, 0.7562, 0.4684)  2 Th 3.11
Te (0.7754, 0.2438, 0.5316)  2 Th 3.11
Te (0.7762, 0.3361, 0.0599)  2 Ag 2.97, 1 Th 3.25
Te (0.7762, 0.7163, 0.4401)  2 Ag 2.97, 1 Th 3.25
Te (0.7878, 0.7562, 0.0316)  2 Th 3.11

Summary:
- SG = Imma, No. 74
- uncorrected energy (eV/atom) = -3.91

---

Pr6TlRh2: optimized geometry, PBE-GGA.

abc: 6.0286 6.0286 9.5027
angles: 101.71 101.71 50.22
Closest atoms and distances in Å follow each position.
Atoms (fractional coordinates):
Pr (0.0295, 0.0295, 0.3479)  3 Pr 3.10-3.23, 4 Rh 3.17-3.47, 1 Tl 3.25
Pr (0.2934, 0.2934, 0.6659)  3 Rh 2.83-3.15
Pr (0.3354, 0.3354, 0.1124)  1 Rh 2.72
Pr (0.6646, 0.6646, 0.8876)  1 Rh 2.72
Pr (0.7066, 0.7066, 0.3341)  3 Rh 2.83-3.15
Pr (0.9705, 0.9705, 0.6521)  3 Pr 3.10-3.23, 4 Rh 3.17-3.47, 1 Tl 3.25
Tl (0.0000, 0.0000, 0.0000)  8 Pr 3.25-3.58
Rh (0.3769, 0.3769, 0.4051)  2 Pr 2.72-2.83, 1 Rh 2.88
Rh (0.6231, 0.6231, 0.5949)  2 Pr 2.72-2.83, 1 Rh 2.88

Summary:
- offset from the most stable computed form (meV/atom) = 71
- SG = C2/m, No. 12
- E_form (meV per atom) = -366